A plane-wave DFT calculation with PBE was carried out for a relaxed structure of ScNiP.

The uncorrected energy is -126.68 eV for the cell shown. As for the crystal system: monoclinic.

It has space group P2_1/m (No. 11), with a = 6.269 Å, b = 3.749 Å, c = 10.732 Å, α = 90.00°, β = 90.02° and γ = 90.00°. Symmetry generates all atoms from Sc at (0.021, 0.250, 0.123), Sc at (0.158, 0.250, 0.422), Sc at (0.479, 0.750, 0.794), Ni at (0.143, 0.250, 0.706), Ni at (0.357, 0.750, 0.041), Ni at (0.494, 0.750, 0.411), P at (0.230, 0.750, 0.251), P at (0.266, 0.750, 0.588) and P at (0.267, 0.250, 0.922).